A plane-wave DFT calculation with PBE was carried out for a relaxed Li2CaZnAu crystal.

Summary:
Fermi-level density of states, states/eV/cell: 2.3
E, eV/cell: -11.4

Lattice parameters (Å, degrees): 4.854 4.854 4.977 90.00 90.00 90.00
Atoms (fractional coordinates):
Li 0.500 0.000 0.000
Li 0.000 0.500 0.000
Ca 0.500 0.500 0.500
Zn 0.000 0.000 0.500
Au 0.000 0.000 0.000

A plane-wave DFT calculation with PBE was carried out for a relaxed Sm2Zn3PdPt4 crystal.

Summary:
Fermi-level density of states, states/eV/cell: 4.8
E, eV/cell: -50.2

Lattice parameters (Å, degrees): 4.052 4.052 11.519 90.00 90.00 90.00
Atoms (fractional coordinates):
Pt 0.500 0.500 0.000
Pt 0.000 0.500 0.346
Pt 0.000 0.000 0.000
Pt 0.500 0.000 0.654
Pd 0.500 0.500 0.500
Zn 0.500 0.000 0.868
Zn 0.000 0.000 0.500
Zn 0.000 0.500 0.132
Sm 0.000 0.500 0.752
Sm 0.500 0.000 0.248

A plane-wave DFT calculation with PBE was carried out for a relaxed Mg3Fe2N4 crystal.

Summary:
Fermi-level density of states, states/eV/cell: 6.4
E, eV/cell: -115.9
Formation energy without anion corrections, eV/atom: -0.33

Lattice parameters (Å, degrees): 6.122 6.122 5.130 89.62 89.62 76.49
Atoms (fractional coordinates):
N 0.276 0.937 0.982
N 0.063 0.724 0.518
N 0.260 0.426 0.054
N 0.574 0.740 0.446
N 0.426 0.260 0.554
N 0.937 0.276 0.482
N 0.724 0.063 0.018
N 0.740 0.574 0.946
Mg 0.986 0.244 0.952
Mg 0.604 0.396 0.250
Mg 0.014 0.756 0.048
Mg 0.244 0.986 0.452
Mg 0.396 0.604 0.750
Mg 0.756 0.014 0.548
Fe 0.171 0.424 0.393
Fe 0.829 0.576 0.607
Fe 0.576 0.829 0.107
Fe 0.424 0.171 0.893

A plane-wave DFT calculation with PBE was carried out for a relaxed PmErNiPt crystal.

Summary:
Fermi-level density of states, states/eV/cell: 2.6
E, eV/cell: -24.4
Energy above the lowest structure with this stoichiometry, meV/atom: 0

Lattice parameters (Å, degrees): 3.863 4.416 5.476 90.00 110.66 90.00
Atoms (fractional coordinates):
Er 0.862 0.500 0.725
Pm 0.143 0.000 0.286
Pt 0.575 0.500 0.150
Ni 0.420 0.000 0.840

no.,total magnetization (μB per atom)
1,0.00
2,0.00
3,0.00
4,0.00